Compound: K2CrCoO4
Source: Alexandria
Functional: PBE+U
Structure: optimized geometry

abc: 5.053 6.488 10.066
angles: 84.39 75.46 67.08
Sites, in units of the cell vectors:
O: 0.265 0.820 0.094
O: 0.835 0.680 0.594
O: 0.915 0.820 0.906
O: 0.571 0.320 0.594
O: 0.641 0.180 0.094
O: 0.109 0.320 0.406
O: 0.179 0.180 0.906
O: 0.485 0.680 0.406
K: 0.177 0.000 0.646
K: 0.927 0.500 0.146
K: 0.823 0.000 0.354
K: 0.573 0.500 0.854
Co: 0.500 0.000 0.000
Co: 0.250 0.500 0.500
Cr: 0.000 0.000 0.000
Cr: 0.750 0.500 0.500

Computed properties:
VASP energy: -90.43 eV for the cell shown
Volume: 18.39 Å³/atom
Symmetry: Fddd
Spin magnetization: 6.09 Bohr magnetons per cell